[1]
VASP calculation (PBE-GGA) on a geometry-optimized Mn2GeSb structure.

Cell lengths 4.3160, 4.3160, 4.3160 Å; angles 60.00, 60.00, 60.00 degrees
With the nearest neighbours (Å) after each atom.
Fractional positions:
Mn (0.2500, 0.2500, 0.2500)  4 Ge 2.64, 4 Sb 2.64
Mn (0.7500, 0.7500, 0.7500)  4 Sb 2.64, 4 Ge 2.64
Ge (0.0000, 0.0000, 0.0000)  8 Mn 2.64
Sb (0.5000, 0.5000, 0.5000)  8 Mn 2.64

## Properties
* DFT total energy: -6.48 eV per atom
* ΔE_f (raw): 290 meV per atom
* distance to the lowest polymorph of the same formula: 0 meV per atom



[2]
VASP calculation (PBE-GGA) on a geometry-optimized Mn3GeSb structure.

Cell lengths 4.3399, 4.3399, 4.3399 Å; angles 90.00, 90.00, 90.00 degrees
With the nearest neighbours (Å) after each atom.
Fractional positions:
Mn (0.0000, 0.0000, 0.5000)  2 Ge 2.17
Mn (0.0000, 0.5000, 0.0000)  2 Ge 2.17
Mn (0.5000, 0.0000, 0.0000)  2 Ge 2.17
Ge (0.0000, 0.0000, 0.0000)  6 Mn 2.17
Sb (0.5000, 0.5000, 0.5000)  12 Mn 3.07

## Properties
* DFT total energy: -6.15 eV per atom
* ΔE_f (raw): 1099 meV per atom
* distance to the lowest polymorph of the same formula: 53 meV per atom



The highest ΔE_f (raw) belongs to which entry?
Mn3GeSb



Which formula does entry 2 have?
Mn3GeSb